The following is a DFT calculation (GGA-PBE) of crystalline Ho2BPPt6 at its relaxed geometry.

## Properties
M_tot = 0.0 μB per formula unit
mass density = 14.699 g/cm3
ΔE_f = -0.91 eV per atom
V = 348.44 Å³ per cell
total energy = -6.66 eV/atom

Lattice parameters (Å, degrees): 5.684 8.407 7.291 90.00 90.00 90.00
Space group Pmmn (No. 59, origin choice 2)
One atom of each set of equivalent atoms:
Ho (0.250, 0.030, 0.227)
B (0.250, 0.250, 0.712)
P (0.250, 0.750, 0.812)
Pt (0.005, 0.250, 0.936)
Pt (0.005, 0.750, 0.497)
Pt (0.250, 0.503, 0.663)